{
  "formula": "Sc2CdTc",
  "functional": "GGA-PBE",
  "state": "optimized geometry",
  "m_tot_mub_per_fu": 0.6,
  "e_form_ev_per_atom": 0.184,
  "e_tot_ev_per_fu": -23.21,
  "n_ef_per_ev_cell": 3.55,
  "cell": [[1.582, 0.914, 9.565], [-1.582, 0.914, 9.565], [0.000, -1.827, 9.565]],
  "species": ["Sc", "Sc", "Cd", "Tc"],
  "frac_coords": [[0.000, 0.000, 0.000], [0.235, 0.235, 0.235], [0.755, 0.755, 0.755], [0.500, 0.500, 0.500]]
}